## a
! GGA-PBE KCd2Ni, optimized geometry; values from VASP
! - D(E_F) (states/eV per cell) = 2.47
! - total magnetization (μB/atom) = 0.000
! - symmetry = Pmmm (47)
&SYSTEM
  ibrav = 0, nat = 4, ntyp = 3
/
ATOMIC_SPECIES
Cd 112.41 Cd.upf
K 39.10 K.upf
Ni 58.69 Ni.upf
CELL_PARAMETERS angstrom
3.680 0.000 0.000
0.000 5.036 0.000
0.000 0.000 5.066
ATOMIC_POSITIONS angstrom
Cd 0.000 0.000 0.000
Cd 1.840 2.518 0.000
K 1.840 0.000 2.533
Ni 0.000 2.518 2.533

***

## b
! GGA-PBE KCd2Ni, optimized geometry; values from VASP
! - D(E_F) (states/eV per cell) = 2.09
! - total magnetization (μB/atom) = 0.000
! - symmetry = I4/mmm (139)
&SYSTEM
  ibrav = 0, nat = 4, ntyp = 3
/
ATOMIC_SPECIES
Cd 112.41 Cd.upf
K 39.10 K.upf
Ni 58.69 Ni.upf
CELL_PARAMETERS angstrom
-4.618 -1.603 2.049
0.664 -5.258 0.071
3.277 3.637 2.032
ATOMIC_POSITIONS angstrom
Cd 0.000 0.000 0.000
Cd -1.977 -3.431 1.060
K 0.982 -2.526 1.582
Ni -1.659 -0.699 2.570

***

b wins, 96 meV per atom ahead of the next structure.